Entry 1:
Computed, not measured: a relaxed LaHo12Er7 crystal at the PBE-GGA level of DFT.

As for the distance to the lowest polymorph of the same formula: 0.000 eV per atom. The value obtained for the formation energy is 0.240 eV/atom. The value obtained for the density of states at the Fermi level is 34.066 states/eV/f.u. As for the crystal system: trigonal.

The space group is R-3 (No. 148, hexagonal axes) and the conventional cell measures 11.9449, 11.9449 and 15.7386 Å, with angles of 90.00, 90.00 and 120.00 degrees. The asymmetric unit holds La at (0.0000, 0.0000, 0.0000), Ho at (0.0206, 0.5705, 0.2169), Ho at (0.0506, 0.8613, 0.2950), Er at (0.0000, 0.0000, 0.5000) and Er at (0.0454, 0.4591, 0.5841).


Entry 2:
Computed, not measured: a relaxed La6HoEr3 crystal at the PBE-GGA level of DFT.

As for the distance to the lowest polymorph of the same formula: 0.050 eV per atom. The value obtained for the formation energy is 0.238 eV/atom. The value obtained for the density of states at the Fermi level is 15.764 states/eV/f.u. As for the crystal system: trigonal.

The space group is R-3m (No. 166, hexagonal axes) and the conventional cell measures 11.6629, 11.6629 and 18.2122 Å, with angles of 90.00, 90.00 and 120.00 degrees. The asymmetric unit holds La at (0.0793, 0.5397, 0.3275), La at (0.0983, 0.1967, 0.8643), Ho at (0.0000, 0.0000, 0.0000), Ho at (0.0000, 0.0000, 0.5000) and Er at (0.0198, 0.5099, 0.1157).